! TaMo | the Alexandria database | PBE | optimized geometry; values from VASP
&SYSTEM
  ibrav = 0, nat = 8, ntyp = 2
/
ATOMIC_SPECIES
Ta 180.95 Ta.upf
Mo 95.94 Mo.upf
CELL_PARAMETERS angstrom
4.541 0.000 0.000
0.000 2.845 -0.003
0.000 0.805 10.492
ATOMIC_POSITIONS crystal
Ta 0.750 0.423 0.696
Ta 0.250 0.812 0.566
Ta 0.750 0.188 0.434
Ta 0.250 0.577 0.304
Mo 0.750 0.945 0.180
Mo 0.250 0.312 0.059
Mo 0.750 0.688 0.941
Mo 0.250 0.055 0.820
! space group: P2_1/m, No. 11
! ΔH_f (0 K): -73 meV per atom

! AlSbSe4 | the Alexandria database | PBE | optimized geometry; values from VASP
&SYSTEM
  ibrav = 0, nat = 12, ntyp = 3
/
ATOMIC_SPECIES
Al 26.98 Al.upf
Sb 121.76 Sb.upf
Se 78.96 Se.upf
CELL_PARAMETERS angstrom
3.684 0.000 0.000
0.000 6.391 -1.037
0.000 0.641 14.398
ATOMIC_POSITIONS crystal
Al 0.000 0.500 0.500
Al 0.500 0.500 0.000
Sb 0.500 0.000 0.500
Sb 0.000 0.000 0.000
Se 0.500 0.629 0.394
Se 0.000 0.371 0.106
Se 0.500 0.371 0.606
Se 0.000 0.629 0.894
Se 0.000 0.159 0.388
Se 0.500 0.841 0.112
Se 0.000 0.841 0.612
Se 0.500 0.159 0.888
! space group: C2/m, No. 12
! ΔE_f (raw): -225 kJ/mol of formula units

! Ac4Ag2H | the Alexandria database | PBE | optimized geometry; values from VASP
&SYSTEM
  ibrav = 0, nat = 7, ntyp = 3
/
ATOMIC_SPECIES
H 1.01 H.upf
Ac 227.00 Ac.upf
Ag 107.87 Ag.upf
CELL_PARAMETERS angstrom
-1.616 2.307 -4.325
-4.890 -0.447 1.589
3.796 6.490 5.124
ATOMIC_POSITIONS crystal
H 0.000 0.000 0.000
Ac 0.813 0.813 0.625
Ac 0.187 0.187 0.375
Ac 0.000 0.500 0.000
Ac 0.500 0.000 0.000
Ag 0.628 0.628 0.255
Ag 0.372 0.372 0.745
! space group: I4/mmm, No. 139
! E_tot: -26.4 eV/cell

! NaSbAu2Se4 | the Alexandria database | PBE | optimized geometry; values from VASP
&SYSTEM
  ibrav = 0, nat = 8, ntyp = 4
/
ATOMIC_SPECIES
Na 22.99 Na.upf
Sb 121.76 Sb.upf
Au 196.97 Au.upf
Se 78.96 Se.upf
CELL_PARAMETERS angstrom
6.715 0.000 0.000
3.357 6.125 0.429
3.357 1.105 6.040
ATOMIC_POSITIONS crystal
Na 0.000 0.000 0.000
Sb 0.000 0.500 0.500
Au 0.500 0.708 0.292
Au 0.500 0.292 0.708
Se 0.637 0.449 0.857
Se 0.363 0.143 0.551
Se 0.943 0.551 0.143
Se 0.057 0.857 0.449
! space group: I222, No. 23
! ΔE_f (raw): -224 kJ/mol of formula units

! La2TiWBr | the Alexandria database | PBE | optimized geometry; values from VASP
&SYSTEM
  ibrav = 0, nat = 5, ntyp = 4
/
ATOMIC_SPECIES
Ti 47.87 Ti.upf
Br 79.90 Br.upf
W 183.84 W.upf
La 138.91 La.upf
CELL_PARAMETERS angstrom
5.830 0.000 0.000
0.000 4.512 0.000
0.000 0.000 5.830
ATOMIC_POSITIONS crystal
Ti 0.000 0.000 0.000
Br 0.500 0.500 0.500
W 0.000 0.500 0.000
La 0.000 0.000 0.500
La 0.500 0.000 0.000
! space group: P4/mmm, No. 123
! ΔE_f (raw): 253 kJ/mol of formula units

! MgTc2Sb | the Alexandria database | PBE | optimized geometry; values from VASP
&SYSTEM
  ibrav = 0, nat = 4, ntyp = 3
/
ATOMIC_SPECIES
Mg 24.30 Mg.upf
Sb 121.76 Sb.upf
Tc 98.00 Tc.upf
CELL_PARAMETERS angstrom
-1.371 -4.646 0.926
2.427 -1.566 3.997
-2.669 4.072 -0.783
ATOMIC_POSITIONS crystal
Mg 0.500 0.500 0.000
Sb 0.750 0.250 0.500
Tc 0.000 0.000 0.000
Tc 0.250 0.750 0.500
! space group: I-4m2, No. 119
! ΔE_f (raw): 93 kJ/mol of formula units

! Sc2BiS | the Alexandria database | PBE | optimized geometry; values from VASP
&SYSTEM
  ibrav = 0, nat = 4, ntyp = 3
/
ATOMIC_SPECIES
Sc 44.96 Sc.upf
Bi 208.98 Bi.upf
S 32.06 S.upf
CELL_PARAMETERS angstrom
-3.220 -0.636 -1.804
-3.125 -0.706 1.940
-3.601 6.594 0.214
ATOMIC_POSITIONS crystal
Sc 0.065 0.065 0.805
Sc 0.268 0.268 0.196
Bi 0.499 0.499 0.503
S 0.668 0.668 0.996
! space group: R3m, No. 160
! ΔE_f (raw): -463 kJ/mol of formula units

! Gd2ScIn | the Alexandria database | PBE | optimized geometry; values from VASP
&SYSTEM
  ibrav = 0, nat = 4, ntyp = 3
/
ATOMIC_SPECIES
Sc 44.96 Sc.upf
Gd 157.25 Gd.upf
In 114.82 In.upf
CELL_PARAMETERS angstrom
4.063 0.000 0.000
0.000 4.063 0.000
0.000 0.000 6.755
ATOMIC_POSITIONS crystal
Sc 0.500 0.500 0.000
Gd 0.000 0.000 0.746
Gd 0.000 0.000 0.254
In 0.500 0.500 0.500
! space group: P4/mmm, No. 123
! ΔH_f (0 K): -208 meV per atom

! CsHfSiPb2 | the Alexandria database | PBE | optimized geometry; values from VASP
&SYSTEM
  ibrav = 0, nat = 5, ntyp = 4
/
ATOMIC_SPECIES
Pb 207.20 Pb.upf
Cs 132.91 Cs.upf
Si 28.09 Si.upf
Hf 178.49 Hf.upf
CELL_PARAMETERS angstrom
-4.439 -3.680 0.033
3.298 -3.981 -0.348
0.272 -0.277 5.753
ATOMIC_POSITIONS crystal
Pb 0.000 0.000 0.500
Pb 0.500 0.000 0.000
Cs 0.500 0.500 0.500
Si 0.000 0.000 0.000
Hf 0.000 0.500 0.000
! space group: P4/mmm, No. 123
! ΔE_f (raw): 266 kJ/mol of formula units

! Li2Cd8Pt | the Alexandria database | PBE | optimized geometry; values from VASP
&SYSTEM
  ibrav = 0, nat = 11, ntyp = 3
/
ATOMIC_SPECIES
Li 6.94 Li.upf
Cd 112.41 Cd.upf
Pt 195.08 Pt.upf
CELL_PARAMETERS angstrom
-4.330 0.156 -1.607
2.080 -3.407 -5.935
-0.149 -4.185 6.641
ATOMIC_POSITIONS crystal
Li 0.801 0.306 0.603
Li 0.199 0.694 0.397
Cd 0.356 0.565 0.712
Cd 0.649 0.863 0.297
Cd 0.844 0.840 0.689
Cd 0.998 0.297 0.995
Cd 0.156 0.160 0.311
Cd 0.351 0.137 0.703
Cd 0.644 0.435 0.288
Cd 0.002 0.703 0.005
Pt 0.500 0.000 0.000
! space group: C2/m, No. 12
! ΔH_f (0 K): -174 meV per atom

! LiMgOs2C | the Alexandria database | PBE | optimized geometry; values from VASP
&SYSTEM
  ibrav = 0, nat = 5, ntyp = 4
/
ATOMIC_SPECIES
Mg 24.30 Mg.upf
Os 190.23 Os.upf
C 12.01 C.upf
Li 6.94 Li.upf
CELL_PARAMETERS angstrom
4.003 0.000 0.000
0.000 4.003 0.000
0.000 0.000 4.212
ATOMIC_POSITIONS crystal
Mg 0.500 0.500 0.500
Os 0.000 0.500 0.000
Os 0.500 0.000 0.000
C 0.000 0.000 0.000
Li 0.000 0.000 0.500
! space group: P4/mmm, No. 123
! ΔH_f (0 K): 121 meV per atom

! Ga2Pt3 | the Alexandria database | PBE | optimized geometry; values from VASP
&SYSTEM
  ibrav = 0, nat = 20, ntyp = 2
/
ATOMIC_SPECIES
Ga 69.72 Ga.upf
Pt 195.08 Pt.upf
CELL_PARAMETERS angstrom
-0.625 1.936 -3.453
-4.496 -6.648 -2.915
-7.934 3.802 3.568
ATOMIC_POSITIONS crystal
Ga 0.250 0.160 0.463
Ga 0.250 0.340 0.963
Ga 0.750 0.840 0.537
Ga 0.750 0.660 0.037
Ga 0.750 0.533 0.703
Ga 0.750 0.967 0.203
Ga 0.250 0.467 0.297
Ga 0.250 0.033 0.797
Pt 0.250 0.631 0.542
Pt 0.250 0.869 0.042
Pt 0.750 0.369 0.458
Pt 0.750 0.131 0.958
Pt 0.750 0.117 0.638
Pt 0.750 0.383 0.138
Pt 0.250 0.883 0.362
Pt 0.250 0.617 0.862
Pt 0.250 0.345 0.693
Pt 0.250 0.155 0.193
Pt 0.750 0.655 0.307
Pt 0.750 0.845 0.807
! space group: Pnma, No. 62
! ΔH_f (0 K): -539 meV per atom

! RbTlPd | the Alexandria database | PBE | optimized geometry; values from VASP
&SYSTEM
  ibrav = 0, nat = 6, ntyp = 3
/
ATOMIC_SPECIES
Rb 85.47 Rb.upf
Tl 204.38 Tl.upf
Pd 106.42 Pd.upf
CELL_PARAMETERS angstrom
-1.857 -4.145 0.846
0.975 0.600 5.070
-7.346 3.635 1.700
ATOMIC_POSITIONS crystal
Rb 0.814 0.850 0.588
Rb 0.314 0.383 0.251
Tl 0.814 0.928 0.075
Tl 0.313 0.304 0.764
Pd 0.813 0.450 0.932
Pd 0.314 0.783 0.907
! space group: P2_1/m, No. 11
! ΔH_f (0 K): -163 meV per atom

! ReAgPd2S | the Alexandria database | PBE | optimized geometry; values from VASP
&SYSTEM
  ibrav = 0, nat = 5, ntyp = 4
/
ATOMIC_SPECIES
Re 186.21 Re.upf
S 32.06 S.upf
Pd 106.42 Pd.upf
Ag 107.87 Ag.upf
CELL_PARAMETERS angstrom
-4.339 1.486 -1.960
-1.945 -3.674 1.520
-1.117 2.351 4.255
ATOMIC_POSITIONS crystal
Re 0.500 0.500 0.500
S 0.000 0.500 0.000
Pd 0.000 0.000 0.500
Pd 0.500 0.000 0.000
Ag 0.000 0.000 0.000
! space group: P4/mmm, No. 123
! ΔE_f (raw): 816 kJ/mol of formula units

! YBRh6 | the Alexandria database | PBE | optimized geometry; values from VASP
&SYSTEM
  ibrav = 0, nat = 8, ntyp = 3
/
ATOMIC_SPECIES
Y 88.91 Y.upf
B 10.81 B.upf
Rh 102.91 Rh.upf
CELL_PARAMETERS angstrom
5.597 0.000 0.000
2.798 4.847 0.000
2.798 1.616 4.729
ATOMIC_POSITIONS crystal
Y 0.500 0.500 0.500
B 0.000 0.000 0.000
Rh 0.901 0.901 0.764
Rh 0.434 0.901 0.764
Rh 0.099 0.566 0.236
Rh 0.566 0.099 0.236
Rh 0.099 0.099 0.236
Rh 0.901 0.434 0.764
! space group: R-3m, No. 166
! ΔH_f (0 K): -208 meV per atom

! Tb5Bi4 | the Alexandria database | PBE | optimized geometry; values from VASP
&SYSTEM
  ibrav = 0, nat = 9, ntyp = 2
/
ATOMIC_SPECIES
Tb 158.93 Tb.upf
Bi 208.98 Bi.upf
CELL_PARAMETERS angstrom
4.416 0.000 0.000
2.208 8.715 0.000
2.208 0.000 8.715
ATOMIC_POSITIONS crystal
Tb 0.603 0.683 0.110
Tb 0.714 0.890 0.683
Tb 0.286 0.110 0.317
Tb 0.397 0.317 0.890
Tb 0.000 0.000 0.000
Bi 0.755 0.329 0.162
Bi 0.916 0.838 0.329
Bi 0.084 0.162 0.671
Bi 0.245 0.671 0.838
! space group: I4/m, No. 87
! ΔH_f (0 K): -648 meV per atom

! TbDy5Te4 | the Alexandria database | PBE | optimized geometry; values from VASP
&SYSTEM
  ibrav = 0, nat = 20, ntyp = 3
/
ATOMIC_SPECIES
Tb 158.93 Tb.upf
Dy 162.50 Dy.upf
Te 127.60 Te.upf
CELL_PARAMETERS angstrom
-5.645 4.184 -2.600
-3.082 -7.140 -4.799
-5.469 -2.701 7.531
ATOMIC_POSITIONS crystal
Tb 0.861 0.000 0.000
Tb 0.139 0.500 0.500
Dy 0.237 0.806 0.808
Dy 0.237 0.194 0.808
Dy 0.782 0.500 0.000
Dy 0.237 0.806 0.192
Dy 0.237 0.194 0.192
Dy 0.763 0.694 0.308
Dy 0.763 0.306 0.308
Dy 0.218 0.000 0.500
Dy 0.763 0.306 0.692
Dy 0.763 0.694 0.692
Te 0.917 0.000 0.699
Te 0.560 0.771 0.000
Te 0.560 0.229 0.000
Te 0.917 0.000 0.301
Te 0.083 0.500 0.199
Te 0.440 0.729 0.500
Te 0.440 0.271 0.500
Te 0.083 0.500 0.801
! space group: Pmmn, No. 59
! ΔE_f (raw): -743 kJ/mol of formula units

! Ac4AlTlI2 | the Alexandria database | PBE | optimized geometry; values from VASP
&SYSTEM
  ibrav = 0, nat = 8, ntyp = 4
/
ATOMIC_SPECIES
Ac 227.00 Ac.upf
Al 26.98 Al.upf
Tl 204.38 Tl.upf
I 126.90 I.upf
CELL_PARAMETERS angstrom
4.819 0.000 0.000
0.000 8.442 0.173
0.000 -2.918 7.755
ATOMIC_POSITIONS crystal
Ac 0.500 0.234 0.218
Ac 0.500 0.766 0.782
Ac 0.000 0.253 0.778
Ac 0.000 0.747 0.222
Al 0.000 0.000 0.000
Tl 0.500 0.500 0.000
I 0.500 0.000 0.500
I 0.000 0.500 0.500
! space group: P2/m, No. 10
! ΔE_f (raw): -466 kJ/mol of formula units

! Th2As4Pd3Rh | the Alexandria database | PBE | optimized geometry; values from VASP
&SYSTEM
  ibrav = 0, nat = 10, ntyp = 4
/
ATOMIC_SPECIES
Th 232.04 Th.upf
As 74.92 As.upf
Pd 106.42 Pd.upf
Rh 102.91 Rh.upf
CELL_PARAMETERS angstrom
-2.736 2.065 2.777
-3.109 0.086 -3.128
-3.428 -8.798 3.165
ATOMIC_POSITIONS crystal
Th 0.500 0.000 0.257
Th 0.000 0.500 0.743
As 0.500 0.500 0.000
As 0.000 0.000 0.000
As 0.500 0.000 0.628
As 0.000 0.500 0.372
Pd 0.000 0.000 0.500
Pd 0.500 0.000 0.873
Pd 0.000 0.500 0.127
Rh 0.500 0.500 0.500
! space group: P-4m2, No. 115
! ΔH_f (0 K): -829 meV per atom

! ThVZn4 | the Alexandria database | PBE | optimized geometry; values from VASP
&SYSTEM
  ibrav = 0, nat = 6, ntyp = 3
/
ATOMIC_SPECIES
Zn 65.41 Zn.upf
Th 232.04 Th.upf
V 50.94 V.upf
CELL_PARAMETERS angstrom
-2.234 0.418 4.813
-1.776 -4.353 2.497
2.559 -1.838 4.291
ATOMIC_POSITIONS crystal
Zn 0.624 0.624 0.129
Zn 0.624 0.129 0.624
Zn 0.624 0.624 0.624
Zn 0.129 0.624 0.624
Th 0.000 0.000 0.000
V 0.250 0.250 0.250
! space group: F-43m, No. 216
! ΔH_f (0 K): -95 meV per atom